A plane-wave DFT calculation with PBEsol was carried out for PrO2 after structural relaxation.

Properties
The total energy is -23.39 eV/f.u.

Cell lengths 5.6455, 5.6455, 5.6455 Å; angles 90.00, 90.00, 90.00 degrees
Space group Fm-3m (No. 225)
Asymmetric unit:
Pr1 0.0000 0.0000 0.0000 x4
O1 0.2500 0.2500 0.2500 x8